(1)
Material: PrHoTlIr
Method: DFT, PBE
State: relaxed

Lattice parameters (Å, degrees): 7.3450 7.3450 7.3450 90.00 90.00 90.00
With the nearest neighbours (Å) after each atom.
Space group F-43m (No. 216)
One atom of each set of equivalent atoms:
Pr (0.0000, 0.0000, 0.0000)  4 Tl 3.18, 4 Ir 3.18
Ho (0.0000, 0.0000, 0.5000)  4 Tl 3.18, 4 Ir 3.18
Tl (0.2500, 0.2500, 0.7500)  4 Pr 3.18, 4 Ho 3.18
Ir (0.2500, 0.2500, 0.2500)  4 Ho 3.18, 4 Pr 3.18

***

(2)
Material: Ho3Ir2Pt
Method: DFT, PBE
State: relaxed

Lattice parameters (Å, degrees): 4.9330 14.8019 3.3230 90.00 90.00 90.00
With the nearest neighbours (Å) after each atom.
Space group Cmmm (No. 65)
One atom of each set of equivalent atoms:
Ho (0.0000, 0.0000, 0.0000)  4 Ir 2.97, 4 Pt 2.97, 2 Ho 3.32
Ho (0.0000, 0.3314, 0.0000)  6 Ir 2.95-2.97, 2 Pt 3.00
Ir (0.0000, 0.1666, 0.5000)  8 Ho 2.95-2.97
Pt (0.0000, 0.5000, 0.5000)  8 Ho 2.97-3.00, 2 Pt 3.32

***

(3)
Material: Ho3IrPt
Method: DFT, PBE
State: relaxed

Lattice parameters (Å, degrees): 16.3419 4.0296 7.7229 90.00 108.55 90.00
With the nearest neighbours (Å) after each atom.
Space group Cm (No. 8)
One atom of each set of equivalent atoms:
Ho (0.0000, 0.0000, 0.0000)  2 Ir 2.78, 2 Pt 2.85
Ho (0.0018, 0.0000, 0.4950)  3 Ir 2.90-3.19, 3 Pt 2.94-3.21
Ho (0.1515, 0.5000, 0.9078)  2 Ir 2.75, 1 Pt 3.07
Ho (0.1813, 0.0000, 0.3370)  2 Pt 2.88, 3 Ir 2.89-2.98
Ho (0.3118, 0.5000, 0.6734)  2 Ir 2.80, 3 Pt 2.91-3.02
Ho (0.3479, 0.0000, 0.0895)  2 Pt 2.81, 2 Ir 3.00-3.06
Ir (0.0403, 0.5000, 0.2624)  7 Ho 2.78-3.00
Ir (0.2025, 0.0000, 0.7228)  6 Ho 2.75-3.06
Pt (0.2977, 0.5000, 0.2884)  6 Ho 2.81-3.14
Pt (0.4553, 0.0000, 0.7241)  7 Ho 2.85-3.07

***

(4)
Material: Ho6IrPt3
Method: DFT, PBE
State: relaxed

Lattice parameters (Å, degrees): 8.2037 11.9861 4.8395 90.00 90.00 90.00
With the nearest neighbours (Å) after each atom.
Space group Pnnm (No. 58)
One atom of each set of equivalent atoms:
Ho (0.0000, 0.2436, 0.0000)  4 Pt 2.90-2.92, 1 Ir 3.07
Ho (0.1500, 0.4071, 0.5000)  2 Ir 2.93, 3 Pt 3.01-3.08
Ho (0.1755, 0.0746, 0.5000)  1 Ir 2.81, 4 Pt 2.95-3.03
Ir (0.0000, 0.5000, 0.0000)  8 Ho 2.81-3.07
Pt (0.0000, 0.0000, 0.0000)  8 Ho 2.92-3.08
Pt (0.1656, 0.8277, 0.5000)  7 Ho 2.90-3.03

***

(5)
Material: Ho3IrPt
Method: DFT, PBE
State: relaxed

Lattice parameters (Å, degrees): 3.9666 6.9894 8.8803 90.00 90.00 90.00
With the nearest neighbours (Å) after each atom.
Space group Pmmn (No. 59, origin choice 2)
One atom of each set of equivalent atoms:
Ho (0.2500, 0.0169, 0.1775)  3 Pt 2.82-2.91, 2 Ir 2.93
Ho (0.2500, 0.2500, 0.5486)  2 Ir 2.73
Ir (0.2500, 0.7500, 0.6631)  6 Ho 2.73-2.93
Pt (0.2500, 0.2500, 0.9054)  6 Ho 2.82-2.91

***

(6)
Material: Ho5Ir2Pt2
Method: DFT, PBE
State: relaxed

Lattice parameters (Å, degrees): 14.6579 7.4415 7.4931 90.00 90.00 90.00
With the nearest neighbours (Å) after each atom.
Space group Cmce (No. 64)
One atom of each set of equivalent atoms:
Ho (0.0000, 0.0000, 0.0000)  4 Ir 2.92-2.95, 2 Pt 2.99
Ho (0.1349, 0.1729, 0.3310)  3 Ir 2.89-3.01, 3 Pt 2.92-2.98
Ir (0.0000, 0.1300, 0.6285)  1 Ir 2.73, 8 Ho 2.89-3.01
Pt (0.2037, 0.0000, 0.0000)  7 Ho 2.92-2.99

***

(7)
Material: Ho8Ir2Pt
Method: DFT, PBE
State: relaxed

Lattice parameters (Å, degrees): 8.4194 12.4412 5.8845 90.00 108.05 90.00
With the nearest neighbours (Å) after each atom.
Space group Cm (No. 8)
One atom of each set of equivalent atoms:
Ho (0.0000, 0.0000, 0.0000)  2 Ir 2.96, 1 Pt 3.10
Ho (0.0713, 0.3689, 0.7824)  2 Ir 2.79-2.80, 1 Pt 3.08
Ho (0.1587, 0.1313, 0.5829)  2 Ir 2.80-2.81, 1 Pt 2.99
Ho (0.2247, 0.5000, 0.3741)  2 Ir 2.99, 1 Pt 3.01
Ho (0.3616, 0.2193, 0.1881)  1 Pt 2.89, 2 Ir 3.16-3.17
Ir (0.3664, 0.3125, 0.6889)  6 Ho 2.79-2.99
Pt (0.3617, 0.0000, 0.3494)  8 Ho 2.89-3.10

***

(8)
Material: Ho4IrPt
Method: DFT, PBE
State: relaxed

Lattice parameters (Å, degrees): 9.6208 9.6256 13.6207 90.00 90.00 90.00
With the nearest neighbours (Å) after each atom.
Space group Fddd (No. 70, origin choice 2)
One atom of each set of equivalent atoms:
Ho (0.1239, 0.3725, 0.2499)  2 Ir 2.93-2.94, 2 Pt 2.96-2.97
Ir (0.1250, 0.1250, 0.1250)  8 Ho 2.93-2.94
Pt (0.1250, 0.1250, 0.6250)  8 Ho 2.96-2.97

***

(9)
Material: Ho4IrPt2
Method: DFT, PBE
State: relaxed

Lattice parameters (Å, degrees): 8.6238 8.6238 8.6706 90.00 90.00 90.00
With the nearest neighbours (Å) after each atom.
Space group I-42d (No. 122)
One atom of each set of equivalent atoms:
Ho (0.0624, 0.6878, 0.4429)  1 Ir 2.79, 2 Pt 2.82-2.86
Ir (0.0000, 0.0000, 0.5000)  4 Ho 2.79
Pt (0.1221, 0.7500, 0.1250)  4 Ho 2.82-2.86

***

(10)
Material: Ho4IrPt3
Method: DFT, PBE
State: relaxed

Lattice parameters (Å, degrees): 4.9039 4.9039 13.8071 90.00 90.00 90.00
With the nearest neighbours (Å) after each atom.
Space group I4/mmm (No. 139)
One atom of each set of equivalent atoms:
Ho (0.0000, 0.5000, 0.1237)  2 Ir 2.99, 6 Pt 2.99-3.01
Ir (0.0000, 0.0000, 0.0000)  8 Ho 2.99
Pt (0.0000, 0.0000, 0.2492)  8 Ho 3.00-3.01
Pt (0.0000, 0.0000, 0.5000)  8 Ho 2.99

***

(11)
Material: Ho3IrPt2
Method: DFT, PBE
State: relaxed

Lattice parameters (Å, degrees): 4.8995 14.7041 6.8716 90.00 90.00 90.00
With the nearest neighbours (Å) after each atom.
Space group Cmmm (No. 65)
One atom of each set of equivalent atoms:
Ho (0.0000, 0.0000, 0.2469)  6 Pt 2.98-3.00, 2 Ir 2.99
Ho (0.0000, 0.3316, 0.2458)  3 Ir 2.95-2.98, 5 Pt 3.00-3.03
Ir (0.0000, 0.1671, 0.0000)  8 Ho 2.95-2.99
Pt (0.0000, 0.1659, 0.5000)  8 Ho 3.00-3.01
Pt (0.0000, 0.5000, 0.0000)  8 Ho 2.98-3.00
Pt (0.0000, 0.5000, 0.5000)  8 Ho 3.00-3.03

***

(12)
Material: Ho5IrPt2
Method: DFT, PBE
State: relaxed

Lattice parameters (Å, degrees): 7.6678 11.9620 4.2581 90.00 90.00 90.00
With the nearest neighbours (Å) after each atom.
Space group Pbam (No. 55)
One atom of each set of equivalent atoms:
Ho (0.0000, 0.0000, 0.0000)  4 Pt 2.99
Ho (0.1629, 0.2970, 0.0000)  1 Ir 2.73, 2 Pt 3.02
Ho (0.1753, 0.5924, 0.5000)  2 Ir 2.75, 2 Pt 2.96-2.99
Ir (0.0000, 0.5000, 0.0000)  6 Ho 2.73-2.75
Pt (0.0394, 0.8265, 0.5000)  8 Ho 2.96-3.14

***

| no. | energy relative to the elements (eV per atom) |
| --- | --- |
| 1 | -0.3922 |
| 2 | -0.9817 |
| 3 | -0.8817 |
| 4 | -0.9044 |
| 5 | -0.8817 |
| 6 | -1.0171 |
| 7 | -0.5648 |
| 8 | -0.8101 |
| 9 | -1.0322 |
| 10 | -1.1502 |
| 11 | -1.1231 |
| 12 | -0.9590 |